VASP calculation (PBE) on a relaxed SrTcAu3 crystal.

Structure (CIF):
```
data_SrTcAu3
_symmetry_space_group_name_H-M 'P m -3 m'
_symmetry_Int_Tables_number 221
_symmetry_space_group_name_Hall '-P 4 2 3'
_cell_length_a 5.6212
_cell_length_b 5.6212
_cell_length_c 5.6212
_cell_angle_alpha 90.00
_cell_angle_beta 90.00
_cell_angle_gamma 90.00
loop_
_atom_site_label
_atom_site_fract_x
_atom_site_fract_y
_atom_site_fract_z
Sr1 0.0000 0.0000 0.0000
Tc1 0.5000 0.5000 0.5000
Au1 0.0000 0.0000 0.5000
```

Summary:
DFT formation energy   1354 meV per atom
Energy above the lowest structure with this stoichiometry   1155 meV per atom
Uncorrected energy   -15.11 eV/f.u.
ρ   7.26 g/cm³